This record from the Alexandria database describes LaB2W2 after structural relaxation. The functional is PBE.

a b c (Å): 7.0752 7.0752 2.8870
angles (deg): 90.00 90.00 90.00
Fractional coordinates of all 10 atoms:
B1 0.1504 0.6504 0.5000
B2 0.6504 0.8496 0.5000
B3 0.8496 0.3496 0.5000
B4 0.3496 0.1504 0.5000
W1 0.3719 0.8719 0.0000
W2 0.8719 0.6281 0.0000
W3 0.6281 0.1281 0.0000
W4 0.1281 0.3719 0.0000
La1 0.0000 0.0000 0.0000
La2 0.5000 0.5000 0.0000

Mass density ... 12.1 g cm⁻³
Fermi-level density of states ... 6.9 states/eV/cell
Energy of formation from the pure elements ... 651 meV/atom
Energy relative to the lowest polymorph listed for this composition ... 486.5 meV per atom
Space-group type ... P4/mbm